[1]
Entry from the Alexandria database: a relaxed structure of NdSm2Er (GGA-PBE).

Its density of states at the Fermi level is 1.476 states/eV/atom. The value obtained for the total magnetization is 0.000 μB per atom. For the energy relative to the lowest polymorph listed for this composition, the calculation gives 2 meV/atom. The formation energy comes out at 1.8 kJ/mol of atoms.

Cell and atoms, written as CIF:
```
data_NdSm2Er
_chemical_formula_sum 'Nd3 Sm6 Er3'
_cell_length_a 3.6244
_cell_length_b 3.6244
_cell_length_c 35.1878
_cell_angle_alpha 90.00
_cell_angle_beta 90.00
_cell_angle_gamma 120.00
_symmetry_space_group_name_H-M 'R 3 m'
_symmetry_Int_Tables_number 160
_symmetry_space_group_name_Hall 'R 3 -2"'
loop_
_atom_site_label
_atom_site_type_symbol
_atom_site_fract_x
_atom_site_fract_y
_atom_site_fract_z
Nd1 Nd 0.0000 0.0000 0.0000
Sm1 Sm 0.0000 0.0000 0.5816
Sm2 Sm 0.0000 0.0000 0.7518
Er1 Er 0.0000 0.0000 0.1668
```

[2]
Entry from the Alexandria database: a relaxed structure of Nd12Sm2Er5 (GGA-PBE).

Its density of states at the Fermi level is 1.404 states/eV/atom. The value obtained for the total magnetization is 0.000 μB per atom. For the energy relative to the lowest polymorph listed for this composition, the calculation gives 31 meV/atom. The formation energy comes out at 12.5 kJ/mol of atoms.

Cell and atoms, written as CIF:
```
data_Nd12Sm2Er5
_chemical_formula_sum 'Nd24 Sm4 Er10'
_cell_length_a 15.6431
_cell_length_b 10.4029
_cell_length_c 8.0589
_cell_angle_alpha 90.00
_cell_angle_beta 92.21
_cell_angle_gamma 90.00
_symmetry_space_group_name_H-M 'C 1 2/m 1'
_symmetry_Int_Tables_number 12
loop_
_symmetry_equiv_pos_as_xyz
'x,y,z'
'-x,-y,-z'
'-x,y,-z'
'x,-y,z'
'x+1/2,y+1/2,z'
'-x+1/2,-y+1/2,-z'
'-x+1/2,y+1/2,-z'
'x+1/2,-y+1/2,z'
loop_
_atom_site_label
_atom_site_type_symbol
_atom_site_fract_x
_atom_site_fract_y
_atom_site_fract_z
Nd1 Nd 0.0529 0.0000 0.2125
Nd2 Nd 0.1061 0.2265 0.8891
Nd3 Nd 0.1462 0.5000 0.6180
Nd4 Nd 0.1895 0.2715 0.2932
Sm1 Sm 0.0000 0.2493 0.5000
Er1 Er 0.0000 0.5000 0.0000
Er2 Er 0.1520 0.0000 0.5899
Er3 Er 0.2442 0.5000 0.9893
```

[3]
Entry from the Alexandria database: a relaxed structure of Nd2Sm15Er2 (GGA-PBE).

Its density of states at the Fermi level is 1.724 states/eV/atom. The value obtained for the total magnetization is 0.001 μB per atom. The formation energy comes out at 24.9 kJ/mol of atoms.

Cell and atoms, written as CIF:
```
data_Nd2Sm15Er2
_chemical_formula_sum 'Nd6 Sm45 Er6'
_cell_length_a 11.3246
_cell_length_b 11.3246
_cell_length_c 17.9034
_cell_angle_alpha 90.00
_cell_angle_beta 90.00
_cell_angle_gamma 120.00
_symmetry_space_group_name_H-M 'R -3 m'
_symmetry_Int_Tables_number 166
_symmetry_space_group_name_Hall '-R 3 2"'
loop_
_atom_site_label
_atom_site_type_symbol
_atom_site_fract_x
_atom_site_fract_y
_atom_site_fract_z
Nd1 Nd 0.0000 0.0000 0.1776
Sm1 Sm 0.0000 0.2947 0.5000
Sm2 Sm 0.0000 0.5000 0.0000
Sm3 Sm 0.0154 0.5077 0.6356
Er1 Er 0.0000 0.0000 0.4056
```

[4]
Entry from the Alexandria database: a relaxed structure of Nd2Sm8Er3 (GGA-PBE).

Its density of states at the Fermi level is 1.605 states/eV/atom. The value obtained for the total magnetization is 0.000 μB per atom. The formation energy comes out at 20.6 kJ/mol of atoms.

Cell and atoms, written as CIF:
```
data_Nd2Sm8Er3
_chemical_formula_sum 'Nd4 Sm16 Er6'
_cell_length_a 7.6887
_cell_length_b 20.7030
_cell_length_c 5.6431
_cell_angle_alpha 90.00
_cell_angle_beta 90.00
_cell_angle_gamma 90.00
_symmetry_space_group_name_H-M 'C m m m'
_symmetry_Int_Tables_number 65
_symmetry_space_group_name_Hall '-C 2 2'
loop_
_atom_site_label
_atom_site_type_symbol
_atom_site_fract_x
_atom_site_fract_y
_atom_site_fract_z
Nd1 Nd 0.0000 0.2400 0.0000
Sm1 Sm 0.0000 0.1288 0.5000
Sm2 Sm 0.0000 0.3334 0.5000
Sm3 Sm 0.2067 0.3958 0.0000
Er1 Er 0.0000 0.0000 0.0000
Er2 Er 0.2144 0.5000 0.5000
```

[5]
Entry from the Alexandria database: a relaxed structure of Nd12Sm2Er5 (GGA-PBE).

Its density of states at the Fermi level is 1.377 states/eV/atom. The value obtained for the total magnetization is 0.000 μB per atom. For the energy relative to the lowest polymorph listed for this composition, the calculation gives 0 meV/atom. The formation energy comes out at 9.5 kJ/mol of atoms.

Cell and atoms, written as CIF:
```
data_Nd12Sm2Er5
_chemical_formula_sum 'Nd24 Sm4 Er10'
_cell_length_a 18.0334
_cell_length_b 11.7469
_cell_length_c 6.2419
_cell_angle_alpha 90.00
_cell_angle_beta 102.49
_cell_angle_gamma 90.00
_symmetry_space_group_name_H-M 'C 1 2/m 1'
_symmetry_Int_Tables_number 12
loop_
_symmetry_equiv_pos_as_xyz
'x,y,z'
'-x,-y,-z'
'-x,y,-z'
'x,-y,z'
'x+1/2,y+1/2,z'
'-x+1/2,-y+1/2,-z'
'-x+1/2,y+1/2,-z'
'x+1/2,-y+1/2,z'
loop_
_atom_site_label
_atom_site_type_symbol
_atom_site_fract_x
_atom_site_fract_y
_atom_site_fract_z
Nd1 Nd 0.0570 0.0000 0.2734
Nd2 Nd 0.1042 0.2515 0.6156
Nd3 Nd 0.1215 0.5000 0.9993
Nd4 Nd 0.1977 0.2409 0.1995
Sm1 Sm 0.0000 0.2717 0.0000
Er1 Er 0.0000 0.5000 0.5000
Er2 Er 0.1784 0.0000 0.8588
Er3 Er 0.2147 0.5000 0.5507
```

[6]
Entry from the Alexandria database: a relaxed structure of Nd5Sm3Er (GGA-PBE).

Its density of states at the Fermi level is 1.365 states/eV/atom. The value obtained for the total magnetization is 0.000 μB per atom. For the energy relative to the lowest polymorph listed for this composition, the calculation gives 0 meV/atom. The formation energy comes out at 14.6 kJ/mol of atoms.

Cell and atoms, written as CIF:
```
data_Nd5Sm3Er
_chemical_formula_sum 'Nd20 Sm12 Er4'
_cell_length_a 16.6793
_cell_length_b 6.8360
_cell_length_c 11.6986
_cell_angle_alpha 90.00
_cell_angle_beta 110.43
_cell_angle_gamma 90.00
_symmetry_space_group_name_H-M 'C 1 2/c 1'
_symmetry_Int_Tables_number 15
loop_
_symmetry_equiv_pos_as_xyz
'x,y,z'
'-x,-y,-z'
'-x,y,-z+1/2'
'x,-y,z+1/2'
'x+1/2,y+1/2,z'
'-x+1/2,-y+1/2,-z'
'-x+1/2,y+1/2,-z+1/2'
'x+1/2,-y+1/2,z+1/2'
loop_
_atom_site_label
_atom_site_type_symbol
_atom_site_fract_x
_atom_site_fract_y
_atom_site_fract_z
Nd1 Nd 0.0000 0.1842 0.2500
Nd2 Nd 0.1084 0.0018 0.0479
Nd3 Nd 0.2397 0.1060 0.8666
Sm1 Sm 0.0000 0.5000 0.0000
Sm2 Sm 0.1727 0.3997 0.3548
Er1 Er 0.0000 0.2673 0.7500
```

[7]
Entry from the Alexandria database: a relaxed structure of Nd5SmEr3 (GGA-PBE).

Its density of states at the Fermi level is 1.384 states/eV/atom. The value obtained for the total magnetization is 0.000 μB per atom. For the energy relative to the lowest polymorph listed for this composition, the calculation gives 0 meV/atom. The formation energy comes out at 16.9 kJ/mol of atoms.

Cell and atoms, written as CIF:
```
data_Nd5SmEr3
_chemical_formula_sum 'Nd20 Sm4 Er12'
_cell_length_a 16.5476
_cell_length_b 6.7763
_cell_length_c 11.6538
_cell_angle_alpha 90.00
_cell_angle_beta 110.41
_cell_angle_gamma 90.00
_symmetry_space_group_name_H-M 'C 1 2/c 1'
_symmetry_Int_Tables_number 15
loop_
_symmetry_equiv_pos_as_xyz
'x,y,z'
'-x,-y,-z'
'-x,y,-z+1/2'
'x,-y,z+1/2'
'x+1/2,y+1/2,z'
'-x+1/2,-y+1/2,-z'
'-x+1/2,y+1/2,-z+1/2'
'x+1/2,-y+1/2,z+1/2'
loop_
_atom_site_label
_atom_site_type_symbol
_atom_site_fract_x
_atom_site_fract_y
_atom_site_fract_z
Nd1 Nd 0.0000 0.1879 0.2500
Nd2 Nd 0.1113 0.0041 0.5523
Nd3 Nd 0.1711 0.4141 0.3437
Sm1 Sm 0.0000 0.2583 0.7500
Er1 Er 0.0000 0.5000 0.0000
Er2 Er 0.2392 0.0969 0.8738
```

[8]
Entry from the Alexandria database: a relaxed structure of Nd3Sm2Er (GGA-PBE).

Its density of states at the Fermi level is 1.775 states/eV/atom. The value obtained for the total magnetization is 0.000 μB per atom. For the energy relative to the lowest polymorph listed for this composition, the calculation gives 564 meV/atom. The formation energy comes out at 54.2 kJ/mol of atoms.

Cell and atoms, written as CIF:
```
data_Nd3Sm2Er
_chemical_formula_sum 'Nd12 Sm8 Er4'
_cell_length_a 11.2900
_cell_length_b 12.0156
_cell_length_c 6.9627
_cell_angle_alpha 90.00
_cell_angle_beta 90.00
_cell_angle_gamma 90.00
_symmetry_space_group_name_H-M 'I b a m'
_symmetry_Int_Tables_number 72
_symmetry_space_group_name_Hall '-I 2 2c'
loop_
_atom_site_label
_atom_site_type_symbol
_atom_site_fract_x
_atom_site_fract_y
_atom_site_fract_z
Nd1 Nd 0.0000 0.0000 0.2500
Nd2 Nd 0.0000 0.2653 0.2500
Sm1 Sm 0.2450 0.1957 0.0000
Er1 Er 0.0000 0.5000 0.0000
```

[9]
Entry from the Alexandria database: a relaxed structure of Nd2Sm6Er3 (GGA-PBE).

Its density of states at the Fermi level is 1.490 states/eV/atom. The value obtained for the total magnetization is 0.000 μB per atom. For the energy relative to the lowest polymorph listed for this composition, the calculation gives 0 meV/atom. The formation energy comes out at 16.5 kJ/mol of atoms.

Cell and atoms, written as CIF:
```
data_Nd2Sm6Er3
_chemical_formula_sum 'Nd4 Sm12 Er6'
_cell_length_a 6.1847
_cell_length_b 10.7266
_cell_length_c 11.7671
_cell_angle_alpha 90.00
_cell_angle_beta 100.22
_cell_angle_gamma 90.00
_symmetry_space_group_name_H-M 'C 1 2/m 1'
_symmetry_Int_Tables_number 12
loop_
_symmetry_equiv_pos_as_xyz
'x,y,z'
'-x,-y,-z'
'-x,y,-z'
'x,-y,z'
'x+1/2,y+1/2,z'
'-x+1/2,-y+1/2,-z'
'-x+1/2,y+1/2,-z'
'x+1/2,-y+1/2,z'
loop_
_atom_site_label
_atom_site_type_symbol
_atom_site_fract_x
_atom_site_fract_y
_atom_site_fract_z
Nd1 Nd 0.0000 0.1665 0.0000
Sm1 Sm 0.2494 0.1664 0.7467
Sm2 Sm 0.2488 0.5000 0.7469
Er1 Er 0.0000 0.0000 0.5000
Er2 Er 0.0000 0.3344 0.5000
```

[10]
Entry from the Alexandria database: a relaxed structure of NdSm4Er5 (GGA-PBE).

Its density of states at the Fermi level is 1.364 states/eV/atom. The value obtained for the total magnetization is 0.000 μB per atom. For the energy relative to the lowest polymorph listed for this composition, the calculation gives 0 meV/atom. The formation energy comes out at 18.8 kJ/mol of atoms.

Cell and atoms, written as CIF:
```
data_NdSm4Er5
_chemical_formula_sum 'Nd1 Sm4 Er5'
_cell_length_a 3.5333
_cell_length_b 8.7519
_cell_length_c 11.1398
_cell_angle_alpha 90.20
_cell_angle_beta 90.05
_cell_angle_gamma 101.63
_symmetry_space_group_name_H-M 'P -1'
_symmetry_Int_Tables_number 2
loop_
_symmetry_equiv_pos_as_xyz
'x,y,z'
'-x,-y,-z'
loop_
_atom_site_label
_atom_site_type_symbol
_atom_site_fract_x
_atom_site_fract_y
_atom_site_fract_z
Nd1 Nd 0.0000 0.0000 0.0000
Sm1 Sm 0.1528 0.3106 0.2498
Sm2 Sm 0.4688 0.9396 0.2525
Er1 Er 0.0000 0.0000 0.5000
Er2 Er 0.3266 0.6504 0.0528
Er3 Er 0.3274 0.6539 0.4524
```